No. 1
# Tm2PdAu3, relaxed, DFT PBE
# Size of the total moment = 0.000 μB per formula unit
# Energy of formation = -0.75 eV per atom
# Crystal system = orthorhombic
# E = -57.0 eV/cell
data_Tm2PdAu3
_chemical_formula_sum 'Tm4 Pd2 Au6'
_symmetry_space_group_name_H-M 'C m m m'
_symmetry_Int_Tables_number 65
_symmetry_space_group_name_Hall '-C 2 2'
_cell_length_a 4.478
_cell_length_b 13.765
_cell_length_c 3.932
_cell_angle_alpha 90.00
_cell_angle_beta 90.00
_cell_angle_gamma 90.00
loop_
_atom_site_label
_atom_site_type_symbol
_atom_site_fract_x
_atom_site_fract_y
_atom_site_fract_z
_atom_site_occupancy
Tm1 Tm 0.000 0.153 0.000 1
Pd1 Pd 0.000 0.500 0.000 1
Au1 Au 0.000 0.000 0.500 1
Au2 Au 0.000 0.329 0.500 1

---

No. 2
# Na2YTlF, relaxed, DFT PBE
# Size of the total moment = 0.000 μB per formula unit
# Crystal system = tetragonal
# E = -18.8 eV/cell
# Formation energy without anion corrections = -1.091 eV per atom
data_Na2YTlF
_chemical_formula_sum 'Na2 Y1 Tl1 F1'
_symmetry_space_group_name_H-M 'P 4/m m m'
_symmetry_Int_Tables_number 123
_symmetry_space_group_name_Hall '-P 4 2'
_cell_length_a 4.689
_cell_length_b 4.689
_cell_length_c 5.031
_cell_angle_alpha 90.00
_cell_angle_beta 90.00
_cell_angle_gamma 90.00
loop_
_atom_site_label
_atom_site_type_symbol
_atom_site_fract_x
_atom_site_fract_y
_atom_site_fract_z
_atom_site_occupancy
Na1 Na 0.000 0.500 0.000 1
Y1 Y 0.000 0.000 0.500 1
Tl1 Tl 0.500 0.500 0.500 1
F1 F 0.000 0.000 0.000 1

---

No. 3
# Na4URh3S8, relaxed, DFT PBE
# Size of the total moment = 1.549 μB per formula unit
# Crystal system = trigonal
# E = -257.9 eV/cell
# Formation energy without anion corrections = -0.896 eV per atom
data_Na4URh3S8
_chemical_formula_sum 'Na12 U3 Rh9 S24'
_symmetry_space_group_name_H-M 'R -3 m'
_symmetry_Int_Tables_number 166
_symmetry_space_group_name_Hall '-R 3 2"'
_cell_length_a 7.2415
_cell_length_b 7.2415
_cell_length_c 20.0659
_cell_angle_alpha 90.00
_cell_angle_beta 90.00
_cell_angle_gamma 120.00
loop_
_atom_site_label
_atom_site_type_symbol
_atom_site_fract_x
_atom_site_fract_y
_atom_site_fract_z
_atom_site_occupancy
Na1 Na 0.0000 0.0000 0.0000 1
Na2 Na 0.0000 0.5000 0.0000 1
U1 U 0.0000 0.0000 0.5000 1
Rh1 Rh 0.0000 0.5000 0.5000 1
S1 S 0.0000 0.0000 0.2262 1
S2 S 0.0188 0.5094 0.7621 1

---

No. 4
# Rb2TaOsF6, relaxed, DFT PBE
# Size of the total moment = 1.000 μB per formula unit
# Crystal system = tetragonal
# E = -109.2 eV/cell
# Formation energy without anion corrections = -1.834 eV per atom
data_Rb2TaOsF6
_chemical_formula_sum 'Rb4 Ta2 Os2 F12'
_symmetry_space_group_name_H-M 'I 4/m m m'
_symmetry_Int_Tables_number 139
_symmetry_space_group_name_Hall '-I 4 2'
_cell_length_a 5.837
_cell_length_b 5.837
_cell_length_c 11.677
_cell_angle_alpha 90.00
_cell_angle_beta 90.00
_cell_angle_gamma 90.00
loop_
_atom_site_label
_atom_site_type_symbol
_atom_site_fract_x
_atom_site_fract_y
_atom_site_fract_z
_atom_site_occupancy
Rb1 Rb 0.000 0.500 0.250 1
Ta1 Ta 0.000 0.000 0.000 1
Os1 Os 0.000 0.000 0.500 1
F1 F 0.000 0.000 0.174 1
F2 F 0.246 0.246 0.000 1

---

No. 5
# Sr2BiOsN, relaxed, DFT PBE
# Size of the total moment = 0.000 μB per formula unit
# Crystal system = tetragonal
# E = -28.9 eV/cell
# Formation energy without anion corrections = -0.412 eV per atom
data_Sr2BiOsN
_chemical_formula_sum 'Sr2 Bi1 Os1 N1'
_symmetry_space_group_name_H-M 'P 4/m m m'
_symmetry_Int_Tables_number 123
_symmetry_space_group_name_Hall '-P 4 2'
_cell_length_a 5.720
_cell_length_b 5.720
_cell_length_c 3.799
_cell_angle_alpha 90.00
_cell_angle_beta 90.00
_cell_angle_gamma 90.00
loop_
_atom_site_label
_atom_site_type_symbol
_atom_site_fract_x
_atom_site_fract_y
_atom_site_fract_z
_atom_site_occupancy
Sr1 Sr 0.000 0.500 0.000 1
Bi1 Bi 0.000 0.000 0.500 1
Os1 Os 0.500 0.500 0.500 1
N1 N 0.500 0.500 0.000 1

---

No. 6
# Be2Nb2In, relaxed, DFT PBE
# Size of the total moment = 0.000 μB per formula unit
# E above lowest polymorph = 72.4 meV per atom
# Energy of formation = -0.09 eV per atom
# Crystal system = tetragonal
# E = -61.6 eV/cell
data_Be2Nb2In
_chemical_formula_sum 'Be4 Nb4 In2'
_symmetry_space_group_name_H-M 'P 4/m b m'
_symmetry_Int_Tables_number 127
_symmetry_space_group_name_Hall '-P 4 2ab'
_cell_length_a 6.394
_cell_length_b 6.394
_cell_length_c 3.583
_cell_angle_alpha 90.00
_cell_angle_beta 90.00
_cell_angle_gamma 90.00
loop_
_atom_site_label
_atom_site_type_symbol
_atom_site_fract_x
_atom_site_fract_y
_atom_site_fract_z
_atom_site_occupancy
Be1 Be 0.113 0.387 0.000 1
Nb1 Nb 0.175 0.675 0.500 1
In1 In 0.000 0.000 0.000 1

---

No. 7
# CaTmZnIr, relaxed, DFT PBE
# Size of the total moment = 0.000 μB per formula unit
# Energy of formation = -0.44 eV per atom
# Crystal system = cubic
# E = -73.4 eV/cell
data_CaTmZnIr
_chemical_formula_sum 'Ca4 Tm4 Zn4 Ir4'
_symmetry_space_group_name_H-M 'F -4 3 m'
_symmetry_Int_Tables_number 216
_symmetry_space_group_name_Hall 'F -4 2 3'
_cell_length_a 6.927
_cell_length_b 6.927
_cell_length_c 6.927
_cell_angle_alpha 90.00
_cell_angle_beta 90.00
_cell_angle_gamma 90.00
loop_
_atom_site_label
_atom_site_type_symbol
_atom_site_fract_x
_atom_site_fract_y
_atom_site_fract_z
_atom_site_occupancy
Ca1 Ca 0.000 0.000 0.000 1
Tm1 Tm 0.000 0.000 0.500 1
Zn1 Zn 0.250 0.250 0.250 1
Ir1 Ir 0.250 0.250 0.750 1

---

No. 8
# TlCrRe2, relaxed, DFT PBE
# Size of the total moment = 0.156 μB per formula unit
# E above lowest polymorph = 87.2 meV per atom
# Energy of formation = 0.60 eV per atom
# Crystal system = monoclinic
# E = -34.5 eV/cell
data_TlCrRe2
_chemical_formula_sum 'Tl1 Cr1 Re2'
_symmetry_space_group_name_H-M 'P 1 m 1'
_symmetry_Int_Tables_number 6
_symmetry_space_group_name_Hall 'P -2y'
_cell_length_a 2.893
_cell_length_b 3.925
_cell_length_c 5.809
_cell_angle_alpha 90.00
_cell_angle_beta 90.04
_cell_angle_gamma 90.00
loop_
_atom_site_label
_atom_site_type_symbol
_atom_site_fract_x
_atom_site_fract_y
_atom_site_fract_z
_atom_site_occupancy
Tl1 Tl 0.000 0.000 0.000 1
Cr1 Cr 0.498 0.500 0.710 1
Re1 Re 0.000 0.000 0.510 1
Re2 Re 0.501 0.500 0.313 1

---

No. 9
# PtW2Br, relaxed, DFT PBE
# Size of the total moment = 0.000 μB per formula unit
# E above lowest polymorph = 210.6 meV per atom
# Crystal system = orthorhombic
# E = -31.2 eV/cell
# Formation energy without anion corrections = 0.616 eV per atom
data_PtW2Br
_chemical_formula_sum 'Pt1 W2 Br1'
_symmetry_space_group_name_H-M 'P m m m'
_symmetry_Int_Tables_number 47
_symmetry_space_group_name_Hall '-P 2 2'
_cell_length_a 2.967
_cell_length_b 3.762
_cell_length_c 6.766
_cell_angle_alpha 90.00
_cell_angle_beta 90.00
_cell_angle_gamma 90.00
loop_
_atom_site_label
_atom_site_type_symbol
_atom_site_fract_x
_atom_site_fract_y
_atom_site_fract_z
_atom_site_occupancy
Pt1 Pt 0.000 0.000 0.000 1
W1 W 0.500 0.500 0.190 1
Br1 Br 0.500 0.000 0.500 1

---

No. 10
# HoVFe2, relaxed, DFT PBE
# Size of the total moment = 0.602 μB per formula unit
# Energy of formation = 0.06 eV per atom
# Crystal system = tetragonal
# E = -30.4 eV/cell
data_HoVFe2
_chemical_formula_sum 'Ho1 V1 Fe2'
_symmetry_space_group_name_H-M 'P 4/m m m'
_symmetry_Int_Tables_number 123
_symmetry_space_group_name_Hall '-P 4 2'
_cell_length_a 2.985
_cell_length_b 2.985
_cell_length_c 6.588
_cell_angle_alpha 90.00
_cell_angle_beta 90.00
_cell_angle_gamma 90.00
loop_
_atom_site_label
_atom_site_type_symbol
_atom_site_fract_x
_atom_site_fract_y
_atom_site_fract_z
_atom_site_occupancy
Ho1 Ho 0.000 0.000 0.000 1
V1 V 0.000 0.000 0.500 1
Fe1 Fe 0.500 0.500 0.300 1

---

No. 11
# AlTe2Os, relaxed, DFT PBE
# Size of the total moment = 0.000 μB per formula unit
# Crystal system = tetragonal
# E = -36.6 eV/cell
# Formation energy without anion corrections = 0.734 eV per atom
data_AlTe2Os
_chemical_formula_sum 'Al2 Te4 Os2'
_symmetry_space_group_name_H-M 'I -4 m 2'
_symmetry_Int_Tables_number 119
_symmetry_space_group_name_Hall 'I -4 -2'
_cell_length_a 4.459
_cell_length_b 4.459
_cell_length_c 8.072
_cell_angle_alpha 90.00
_cell_angle_beta 90.00
_cell_angle_gamma 90.00
loop_
_atom_site_label
_atom_site_type_symbol
_atom_site_fract_x
_atom_site_fract_y
_atom_site_fract_z
_atom_site_occupancy
Al1 Al 0.000 0.000 0.000 1
Te1 Te 0.000 0.000 0.500 1
Te2 Te 0.000 0.500 0.250 1
Os1 Os 0.000 0.500 0.750 1

---

No. 12
# Er8Zn2Cu, relaxed, DFT PBE
# Size of the total moment = 0.000 μB per formula unit
# Energy of formation = -0.13 eV per atom
# Crystal system = monoclinic
# E = -89.1 eV/cell
data_Er8Zn2Cu
_chemical_formula_sum 'Er16 Zn4 Cu2'
_symmetry_space_group_name_H-M 'C 1 2/m 1'
_symmetry_Int_Tables_number 12
_symmetry_space_group_name_Hall '-C 2y'
_cell_length_a 17.458
_cell_length_b 5.045
_cell_length_c 6.714
_cell_angle_alpha 90.00
_cell_angle_beta 106.37
_cell_angle_gamma 90.00
loop_
_atom_site_label
_atom_site_type_symbol
_atom_site_fract_x
_atom_site_fract_y
_atom_site_fract_z
_atom_site_occupancy
Er1 Er 0.027 0.000 0.280 1
Er2 Er 0.091 0.500 0.950 1
Er3 Er 0.163 0.500 0.471 1
Er4 Er 0.200 0.000 0.816 1
Zn1 Zn 0.186 0.000 0.225 1
Cu1 Cu 0.000 0.500 0.500 1

---

E of number 2 (Na2YTlF)?
-18.8 eV/cell

---

What did the twelfth record say?
# Er8Zn2Cu, relaxed, DFT PBE
# Size of the total moment = 0.000 μB per formula unit
# Energy of formation = -0.13 eV per atom
# Crystal system = monoclinic
# E = -89.1 eV/cell
data_Er8Zn2Cu
_chemical_formula_sum 'Er16 Zn4 Cu2'
_symmetry_space_group_name_H-M 'C 1 2/m 1'
_symmetry_Int_Tables_number 12
_symmetry_space_group_name_Hall '-C 2y'
_cell_length_a 17.458
_cell_length_b 5.045
_cell_length_c 6.714
_cell_angle_alpha 90.00
_cell_angle_beta 106.37
_cell_angle_gamma 90.00
loop_
_atom_site_label
_atom_site_type_symbol
_atom_site_fract_x
_atom_site_fract_y
_atom_site_fract_z
_atom_site_occupancy
Er1 Er 0.027 0.000 0.280 1
Er2 Er 0.091 0.500 0.950 1
Er3 Er 0.163 0.500 0.471 1
Er4 Er 0.200 0.000 0.816 1
Zn1 Zn 0.186 0.000 0.225 1
Cu1 Cu 0.000 0.500 0.500 1

---

What did the eighth record say?
# TlCrRe2, relaxed, DFT PBE
# Size of the total moment = 0.156 μB per formula unit
# E above lowest polymorph = 87.2 meV per atom
# Energy of formation = 0.60 eV per atom
# Crystal system = monoclinic
# E = -34.5 eV/cell
data_TlCrRe2
_chemical_formula_sum 'Tl1 Cr1 Re2'
_symmetry_space_group_name_H-M 'P 1 m 1'
_symmetry_Int_Tables_number 6
_symmetry_space_group_name_Hall 'P -2y'
_cell_length_a 2.893
_cell_length_b 3.925
_cell_length_c 5.809
_cell_angle_alpha 90.00
_cell_angle_beta 90.04
_cell_angle_gamma 90.00
loop_
_atom_site_label
_atom_site_type_symbol
_atom_site_fract_x
_atom_site_fract_y
_atom_site_fract_z
_atom_site_occupancy
Tl1 Tl 0.000 0.000 0.000 1
Cr1 Cr 0.498 0.500 0.710 1
Re1 Re 0.000 0.000 0.510 1
Re2 Re 0.501 0.500 0.313 1

---

Number 5 is which compound?
Sr2BiOsN